(one)
Density functional theory data (PBE-GGA) for an optimized crystal structure of HoPuBi2.

Summary:
The symmetry is No. 123. The calculation puts the spin magnetization at 5.9 μB/f.u.

a b c (Å): 5.844 5.844 3.399
angles (deg): 90.00 90.00 90.00
Atoms (fractional coordinates):
Ho 0.000 0.000 0.000
Pu 0.500 0.500 0.000
Bi 0.000 0.500 0.500
Bi 0.500 0.000 0.500

(two)
Density functional theory data (PBE-GGA) for an optimized crystal structure of HoPuBi2.

Summary:
The symmetry is No. 160. The calculation puts the spin magnetization at 5.1 μB/f.u.

a b c (Å): 7.984 7.984 7.984
angles (deg): 32.67 32.67 32.67
Atoms (fractional coordinates):
Ho 0.000 0.000 0.000
Pu 0.829 0.829 0.829
Bi 0.248 0.248 0.248
Bi 0.415 0.415 0.415

(three)
Density functional theory data (PBE-GGA) for an optimized crystal structure of HoPuBi2.

Summary:
The symmetry is No. 164. The calculation puts the spin magnetization at 5.2 μB/f.u.

a b c (Å): 4.456 4.456 7.751
angles (deg): 90.00 90.00 120.00
Atoms (fractional coordinates):
Ho 0.000 0.000 0.000
Pu 0.000 0.000 0.500
Bi 0.333 0.667 0.755
Bi 0.667 0.333 0.245

(four)
Density functional theory data (PBE-GGA) for an optimized crystal structure of HoPuBi2.

Summary:
The symmetry is No. 123. The calculation puts the spin magnetization at 6.1 μB/f.u.

a b c (Å): 3.731 3.731 8.333
angles (deg): 90.00 90.00 90.00
Atoms (fractional coordinates):
Ho 0.000 0.000 0.000
Pu 0.000 0.000 0.500
Bi 0.500 0.500 0.244
Bi 0.500 0.500 0.756

Most favorable first, least favorable last: (three), (two), (one), (four)

(one)
Density functional theory data (PBE-GGA) for an optimized crystal structure of HoPuBi2.

Summary:
The symmetry is No. 225. The calculation puts the spin magnetization at 6.0 μB/f.u.

a b c (Å): 5.487 5.487 5.487
angles (deg): 60.00 60.00 60.00
Atoms (fractional coordinates):
Ho 0.000 0.000 0.000
Pu 0.500 0.500 0.500
Bi 0.250 0.250 0.250
Bi 0.750 0.750 0.750

(two)
Density functional theory data (PBE-GGA) for an optimized crystal structure of HoPuBi2.

Summary:
The symmetry is No. 166. The calculation puts the spin magnetization at 5.1 μB/f.u.

a b c (Å): 7.793 7.793 7.793
angles (deg): 33.58 33.58 33.58
Atoms (fractional coordinates):
Ho 0.000 0.000 0.000
Pu 0.500 0.500 0.500
Bi 0.251 0.251 0.251
Bi 0.749 0.749 0.749

Most favorable first, least favorable last: (two), (one)

(one)
Density functional theory data (PBE-GGA) for an optimized crystal structure of Ho7Bi2Rh2.

Summary:
The symmetry is No. 65. The calculation puts the spin magnetization at 0.0 μB/f.u.

a b c (Å): 6.834 6.834 7.196
angles (deg): 90.00 90.00 101.08
Atoms (fractional coordinates):
Ho 0.000 0.000 0.000
Ho 0.000 0.500 0.238
Ho 0.000 0.500 0.762
Ho 0.500 0.000 0.238
Ho 0.500 0.000 0.762
Ho 0.500 0.500 0.229
Ho 0.500 0.500 0.771
Bi 0.204 0.204 0.500
Bi 0.796 0.796 0.500
Rh 0.278 0.722 0.000
Rh 0.722 0.278 0.000

(two)
Density functional theory data (PBE-GGA) for an optimized crystal structure of Ho7Bi2Rh2.

Summary:
The symmetry is No. 44. The calculation puts the spin magnetization at 0.0 μB/f.u.

a b c (Å): 9.707 9.707 9.707
angles (deg): 157.62 65.62 119.22
Atoms (fractional coordinates):
Ho 0.000 0.000 0.000
Ho 0.304 0.436 0.867
Ho 0.317 0.635 0.682
Ho 0.569 0.436 0.133
Ho 0.627 0.280 0.346
Ho 0.934 0.280 0.654
Ho 0.954 0.635 0.318
Bi 0.271 0.771 0.500
Bi 0.675 0.675 0.000
Rh 0.183 0.944 0.239
Rh 0.706 0.944 0.761

Most favorable first, least favorable last: (two), (one)

(one)
Density functional theory data (PBE-GGA) for an optimized crystal structure of Ho4BiRh.

Summary:
The symmetry is No. 15. The calculation puts the spin magnetization at 0.0 μB/f.u.

a b c (Å): 8.057 8.057 6.052
angles (deg): 102.49 102.49 112.45
Atoms (fractional coordinates):
Ho 0.060 0.718 0.932
Ho 0.204 0.353 0.650
Ho 0.282 0.940 0.568
Ho 0.353 0.204 0.150
Ho 0.647 0.796 0.850
Ho 0.718 0.060 0.432
Ho 0.796 0.647 0.350
Ho 0.940 0.282 0.068
Bi 0.374 0.626 0.250
Bi 0.626 0.374 0.750
Rh 0.000 0.000 0.250
Rh 0.000 0.000 0.750

(two)
Density functional theory data (PBE-GGA) for an optimized crystal structure of Ho4BiRh.

Summary:
The symmetry is No. 62. The calculation puts the spin magnetization at 0.0 μB/f.u.

a b c (Å): 8.202 4.062 19.368
angles (deg): 90.00 90.00 90.00
Atoms (fractional coordinates):
Ho 0.005 0.250 0.067
Ho 0.045 0.750 0.214
Ho 0.138 0.750 0.644
Ho 0.143 0.750 0.451
Ho 0.357 0.250 0.951
Ho 0.362 0.250 0.144
Ho 0.455 0.250 0.714
Ho 0.495 0.750 0.567
Ho 0.505 0.250 0.433
Ho 0.545 0.750 0.286
Ho 0.638 0.750 0.856
Ho 0.643 0.750 0.049
Ho 0.857 0.250 0.549
Ho 0.862 0.250 0.356
Ho 0.955 0.250 0.786
Ho 0.995 0.750 0.933
Bi 0.242 0.250 0.311
Bi 0.258 0.750 0.811
Bi 0.742 0.250 0.189
Bi 0.758 0.750 0.689
Rh 0.241 0.250 0.550
Rh 0.259 0.750 0.050
Rh 0.741 0.250 0.950
Rh 0.759 0.750 0.450

Most favorable first, least favorable last: (two), (one)

(one)
Density functional theory data (PBE-GGA) for an optimized crystal structure of HoBi2Sb.

Summary:
The symmetry is No. 166. The calculation puts the spin magnetization at 0.0 μB/f.u.

a b c (Å): 10.961 10.961 10.961
angles (deg): 20.09 20.09 20.09
Atoms (fractional coordinates):
Ho 0.000 0.000 0.000
Bi 0.097 0.097 0.097
Bi 0.903 0.903 0.903
Sb 0.500 0.500 0.500

(two)
Density functional theory data (PBE-GGA) for an optimized crystal structure of HoBi2Sb.

Summary:
The symmetry is No. 123. The calculation puts the spin magnetization at 0.0 μB/f.u.

a b c (Å): 4.665 4.665 5.386
angles (deg): 90.00 90.00 90.00
Atoms (fractional coordinates):
Ho 0.000 0.000 0.000
Bi 0.000 0.500 0.500
Bi 0.500 0.000 0.500
Sb 0.500 0.500 0.000

Most favorable first, least favorable last: (two), (one)

(one)
Density functional theory data (PBE-GGA) for an optimized crystal structure of HoBiSb2.

Summary:
The symmetry is No. 123. The calculation puts the spin magnetization at 0.0 μB/f.u.

a b c (Å): 4.122 4.122 6.613
angles (deg): 90.00 90.00 90.00
Atoms (fractional coordinates):
Ho 0.000 0.000 0.000
Bi 0.000 0.000 0.500
Sb 0.500 0.500 0.229
Sb 0.500 0.500 0.771

(two)
Density functional theory data (PBE-GGA) for an optimized crystal structure of HoBiSb2.

Summary:
The symmetry is No. 166. The calculation puts the spin magnetization at 0.0 μB/f.u.

a b c (Å): 11.457 11.457 11.457
angles (deg): 17.60 17.60 17.60
Atoms (fractional coordinates):
Ho 0.000 0.000 0.000
Bi 0.500 0.500 0.500
Sb 0.405 0.405 0.405
Sb 0.595 0.595 0.595

Most favorable first, least favorable last: (one), (two)

(one)
Density functional theory data (PBE-GGA) for an optimized crystal structure of HoSc2Bi.

Summary:
The symmetry is No. 166. The calculation puts the spin magnetization at 1.8 μB/f.u.

a b c (Å): 11.540 11.540 11.540
angles (deg): 16.87 16.87 16.87
Atoms (fractional coordinates):
Ho 0.000 0.000 0.000
Sc 0.093 0.093 0.093
Sc 0.907 0.907 0.907
Bi 0.500 0.500 0.500

(two)
Density functional theory data (PBE-GGA) for an optimized crystal structure of HoSc2Bi.

Summary:
The symmetry is No. 123. The calculation puts the spin magnetization at 0.0 μB/f.u.

a b c (Å): 3.877 3.877 6.960
angles (deg): 90.00 90.00 90.00
Atoms (fractional coordinates):
Ho 0.000 0.000 0.000
Sc 0.500 0.500 0.271
Sc 0.500 0.500 0.729
Bi 0.000 0.000 0.500

(three)
Density functional theory data (PBE-GGA) for an optimized crystal structure of HoSc2Bi.

Summary:
The symmetry is No. 123. The calculation puts the spin magnetization at 1.8 μB/f.u.

a b c (Å): 4.686 4.686 4.664
angles (deg): 90.00 90.00 90.00
Atoms (fractional coordinates):
Ho 0.000 0.000 0.000
Sc 0.000 0.500 0.500
Sc 0.500 0.000 0.500
Bi 0.500 0.500 0.000

(four)
Density functional theory data (PBE-GGA) for an optimized crystal structure of HoSc2Bi.

Summary:
The symmetry is No. 160. The calculation puts the spin magnetization at 0.1 μB/f.u.

a b c (Å): 10.400 10.400 10.400
angles (deg): 19.46 19.46 19.46
Atoms (fractional coordinates):
Ho 0.000 0.000 0.000
Sc 0.247 0.247 0.247
Sc 0.420 0.420 0.420
Bi 0.833 0.833 0.833

Most favorable first, least favorable last: (three), (two), (four), (one)

(one)
Density functional theory data (PBE-GGA) for an optimized crystal structure of Ho5Bi4Se.

Summary:
The symmetry is No. 87. The calculation puts the spin magnetization at 0.0 μB/f.u.

a b c (Å): 7.593 7.593 7.593
angles (deg): 99.67 99.67 131.60
Atoms (fractional coordinates):
Ho 0.000 0.000 0.000
Ho 0.212 0.600 0.811
Ho 0.400 0.212 0.612
Ho 0.600 0.788 0.388
Ho 0.788 0.400 0.189
Bi 0.095 0.302 0.397
Bi 0.302 0.905 0.207
Bi 0.698 0.095 0.793
Bi 0.905 0.698 0.603
Se 0.500 0.500 0.000

(two)
Density functional theory data (PBE-GGA) for an optimized crystal structure of Ho5Bi4Se.

Summary:
The symmetry is No. 139. The calculation puts the spin magnetization at 0.0 μB/f.u.

a b c (Å): 15.786 15.786 15.786
angles (deg): 163.99 163.99 22.71
Atoms (fractional coordinates):
Ho 0.000 0.000 0.000
Ho 0.201 0.201 0.000
Ho 0.406 0.406 0.000
Ho 0.594 0.594 0.000
Ho 0.799 0.799 0.000
Bi 0.099 0.099 0.000
Bi 0.303 0.303 0.000
Bi 0.697 0.697 0.000
Bi 0.901 0.901 0.000
Se 0.500 0.500 0.000

Most favorable first, least favorable last: (one), (two)